[1]
Below is a geometry-optimized Li2Ce2PuGe2 structure, with properties calculated at the PBE level.

```
data_Li2Ce2PuGe2
_chemical_formula_sum 'Li2 Ce2 Pu1 Ge2'
_symmetry_space_group_name_H-M 'P 1'
_symmetry_Int_Tables_number 1
_symmetry_space_group_name_Hall 'P 1'
_cell_length_a 7.759
_cell_length_b 7.759
_cell_length_c 7.759
_cell_angle_alpha 35.72
_cell_angle_beta 35.72
_cell_angle_gamma 35.72
loop_
_atom_site_label
_atom_site_type_symbol
_atom_site_fract_x
_atom_site_fract_y
_atom_site_fract_z
Li1 Li 0.107 0.107 0.107
Li2 Li 0.893 0.893 0.893
Ce1 Ce 0.383 0.383 0.383
Ce2 Ce 0.617 0.617 0.617
Pu1 Pu 0.500 0.500 0.500
Ge1 Ge 0.231 0.231 0.231
Ge2 Ge 0.769 0.769 0.769
```

Summary:
Total magnetization ... 0.03 μB/atom
E_form ... -0.13 eV per atom



[2]
Below is a geometry-optimized SiNiPt structure, with properties calculated at the PBE level.

```
data_SiNiPt
_chemical_formula_sum 'Si2 Ni2 Pt2'
_symmetry_space_group_name_H-M 'P 1'
_symmetry_Int_Tables_number 1
_symmetry_space_group_name_Hall 'P 1'
_cell_length_a 6.733
_cell_length_b 6.733
_cell_length_c 6.733
_cell_angle_alpha 33.55
_cell_angle_beta 33.55
_cell_angle_gamma 33.55
loop_
_atom_site_label
_atom_site_type_symbol
_atom_site_fract_x
_atom_site_fract_y
_atom_site_fract_z
Si1 Si 0.000 0.000 0.000
Si2 Si 0.161 0.161 0.161
Ni1 Ni 0.702 0.702 0.702
Ni2 Ni 0.870 0.870 0.870
Pt1 Pt 0.287 0.287 0.287
Pt2 Pt 0.449 0.449 0.449
```

Summary:
Formation energy from raw total energies ... -0.55 eV per atom
Total magnetization ... 0.00 μB/atom



[3]
Below is a geometry-optimized FeNiW2 structure, with properties calculated at the PBE level.

```
data_FeNiW2
_chemical_formula_sum 'Fe2 Ni2 W4'
_symmetry_space_group_name_H-M 'P 1'
_symmetry_Int_Tables_number 1
_symmetry_space_group_name_Hall 'P 1'
_cell_length_a 8.851
_cell_length_b 2.624
_cell_length_c 4.884
_cell_angle_alpha 90.00
_cell_angle_beta 98.70
_cell_angle_gamma 90.00
loop_
_atom_site_label
_atom_site_type_symbol
_atom_site_fract_x
_atom_site_fract_y
_atom_site_fract_z
Fe1 Fe 0.000 0.000 0.000
Fe2 Fe 0.500 0.500 0.000
Ni1 Ni 0.000 0.500 0.500
Ni2 Ni 0.500 0.000 0.500
W1 W 0.247 0.000 0.748
W2 W 0.253 0.500 0.252
W3 W 0.747 0.500 0.748
W4 W 0.753 0.000 0.252
```

Summary:
Total magnetization ... 0.49 μB/atom
E_form ... 0.26 eV per atom



[4]
Below is a geometry-optimized Y3Mg4Pt4 structure, with properties calculated at the PBE level.

```
data_Y3Mg4Pt4
_chemical_formula_sum 'Y3 Mg4 Pt4'
_symmetry_space_group_name_H-M 'P 1'
_symmetry_Int_Tables_number 1
_symmetry_space_group_name_Hall 'P 1'
_cell_length_a 8.653
_cell_length_b 8.653
_cell_length_c 8.653
_cell_angle_alpha 153.86
_cell_angle_beta 124.95
_cell_angle_gamma 61.93
loop_
_atom_site_label
_atom_site_type_symbol
_atom_site_fract_x
_atom_site_fract_y
_atom_site_fract_z
Y1 Y 0.000 0.000 0.000
Y2 Y 0.387 0.887 0.500
Y3 Y 0.613 0.113 0.500
Mg1 Mg 0.020 0.327 0.692
Mg2 Mg 0.365 0.673 0.692
Mg3 Mg 0.635 0.327 0.308
Mg4 Mg 0.980 0.673 0.308
Pt1 Pt 0.237 0.237 0.000
Pt2 Pt 0.299 0.500 0.799
Pt3 Pt 0.701 0.500 0.201
Pt4 Pt 0.763 0.763 0.000
```

Summary:
Total magnetization ... 0.00 μB/atom
E_form ... -0.92 eV per atom



[5]
Below is a geometry-optimized BaPr2O4 structure, with properties calculated at the PBE level.

```
data_BaPr2O4
_chemical_formula_sum 'Ba4 Pr8 O16'
_symmetry_space_group_name_H-M 'P 1'
_symmetry_Int_Tables_number 1
_symmetry_space_group_name_Hall 'P 1'
_cell_length_a 10.787
_cell_length_b 3.667
_cell_length_c 12.682
_cell_angle_alpha 90.00
_cell_angle_beta 90.00
_cell_angle_gamma 90.00
loop_
_atom_site_label
_atom_site_type_symbol
_atom_site_fract_x
_atom_site_fract_y
_atom_site_fract_z
Ba1 Ba 0.249 0.250 0.147
Ba2 Ba 0.251 0.750 0.647
Ba3 Ba 0.749 0.250 0.353
Ba4 Ba 0.751 0.750 0.853
Pr1 Pr 0.075 0.250 0.887
Pr2 Pr 0.080 0.250 0.389
Pr3 Pr 0.420 0.750 0.889
Pr4 Pr 0.425 0.750 0.387
Pr5 Pr 0.575 0.250 0.613
Pr6 Pr 0.580 0.250 0.111
Pr7 Pr 0.920 0.750 0.611
Pr8 Pr 0.925 0.750 0.113
O1 O 0.014 0.750 0.783
O2 O 0.071 0.250 0.577
O3 O 0.123 0.750 0.019
O4 O 0.212 0.750 0.329
O5 O 0.288 0.250 0.829
O6 O 0.377 0.250 0.519
O7 O 0.429 0.750 0.077
O8 O 0.486 0.250 0.283
O9 O 0.514 0.750 0.717
O10 O 0.571 0.250 0.923
O11 O 0.623 0.750 0.481
O12 O 0.712 0.750 0.171
O13 O 0.788 0.250 0.671
O14 O 0.877 0.250 0.981
O15 O 0.929 0.750 0.423
O16 O 0.986 0.250 0.217
```

Summary:
Formation energy from raw total energies ... -3.08 eV per atom
Total magnetization ... 0.00 μB/atom



[6]
Below is a geometry-optimized ZrPW2 structure, with properties calculated at the PBE level.

```
data_ZrPW2
_chemical_formula_sum 'Zr4 P4 W8'
_symmetry_space_group_name_H-M 'P 1'
_symmetry_Int_Tables_number 1
_symmetry_space_group_name_Hall 'P 1'
_cell_length_a 3.818
_cell_length_b 3.818
_cell_length_c 19.607
_cell_angle_alpha 90.00
_cell_angle_beta 90.00
_cell_angle_gamma 90.00
loop_
_atom_site_label
_atom_site_type_symbol
_atom_site_fract_x
_atom_site_fract_y
_atom_site_fract_z
Zr1 Zr 0.000 0.000 0.000
Zr2 Zr 0.000 0.500 0.250
Zr3 Zr 0.500 0.000 0.750
Zr4 Zr 0.500 0.500 0.500
P1 P 0.000 0.000 0.500
P2 P 0.000 0.500 0.750
P3 P 0.500 0.000 0.250
P4 P 0.500 0.500 0.000
W1 W 0.225 0.250 0.625
W2 W 0.250 0.725 0.875
W3 W 0.250 0.775 0.375
W4 W 0.275 0.250 0.125
W5 W 0.725 0.750 0.125
W6 W 0.750 0.225 0.375
W7 W 0.750 0.275 0.875
W8 W 0.775 0.750 0.625
```

Summary:
Total magnetization ... 0.00 μB/atom
E_form ... 0.30 eV per atom



Number 1 is which compound?
Li2Ce2PuGe2